1.
A plane-wave DFT calculation with PBE-GGA was carried out for a relaxed ZrGeAuSe2 crystal.

Cell lengths 5.1537, 5.3239, 5.1537 Å; angles 90.00, 90.00, 90.00 degrees
Element x y z (fractional)
Zr 0.0000 0.0000 0.0000
Se 0.5000 0.0000 0.0000
Se 0.0000 0.0000 0.5000
Au 0.0000 0.5000 0.0000
Ge 0.5000 0.5000 0.5000

Properties
magnetization	0.00	μB/cell
uncorrected formation energy	0.027	eV/atom
calculated total energy	-4.656	eV per atom

2.
A plane-wave DFT calculation with PBE-GGA was carried out for a relaxed Si2Ge2Au crystal.

Cell lengths 4.5320, 4.5320, 5.6313 Å; angles 66.27, 66.27, 90.00 degrees
Element x y z (fractional)
Ge 0.7500 0.2500 0.5000
Ge 0.2500 0.7500 0.5000
Au 0.0000 0.0000 0.0000
Si 0.3750 0.3750 0.2501
Si 0.6250 0.6250 0.7499

Properties
magnetization	0.00	μB/cell
uncorrected formation energy	0.329	eV/atom
calculated total energy	-4.342	eV per atom
E above lowest polymorph	46.0	meV/atom

3.
A plane-wave DFT calculation with PBE-GGA was carried out for a relaxed Si3GeAu crystal.

Cell lengths 4.8520, 4.8520, 4.8520 Å; angles 90.00, 90.00, 90.00 degrees
Element x y z (fractional)
Si 0.0000 0.5000 0.0000
Si 0.5000 0.0000 0.0000
Si 0.0000 0.0000 0.5000
Au 0.0000 0.0000 0.0000
Ge 0.5000 0.5000 0.5000

Properties
magnetization	0.00	μB/cell
uncorrected formation energy	1.009	eV/atom
calculated total energy	-3.824	eV per atom
E above lowest polymorph	0.0	meV/atom

4.
A plane-wave DFT calculation with PBE-GGA was carried out for a relaxed Si2GeAu2 crystal.

Cell lengths 3.8623, 3.8623, 6.7901 Å; angles 73.48, 73.48, 90.00 degrees
Element x y z (fractional)
Si 0.2500 0.7500 0.5000
Si 0.7500 0.2500 0.5000
Ge 0.0000 0.0000 0.0000
Au 0.3898 0.3898 0.2204
Au 0.6102 0.6102 0.7796

Properties
magnetization	0.00	μB/cell
uncorrected formation energy	0.252	eV/atom
calculated total energy	-4.152	eV per atom
E above lowest polymorph	0.0	meV/atom

5.
A plane-wave DFT calculation with PBE-GGA was carried out for a relaxed SiGe2Au crystal.

Cell lengths 5.8533, 5.8533, 6.8601 Å; angles 64.75, 64.75, 90.00 degrees
Element x y z (fractional)
Si 0.5000 0.5000 0.0000
Si 0.2500 0.7500 0.5000
Ge 0.3750 0.3911 0.7500
Ge 0.6089 0.1250 0.2500
Ge 0.8750 0.8589 0.7500
Ge 0.1411 0.6250 0.2500
Au 0.0000 0.0000 0.0000
Au 0.7500 0.2500 0.5000

Properties
magnetization	0.00	μB/cell
uncorrected formation energy	0.196	eV/atom
calculated total energy	-4.288	eV per atom

6.
A plane-wave DFT calculation with PBE-GGA was carried out for a relaxed Si2GeAu2 crystal.

Cell lengths 7.9682, 7.9682, 2.8500 Å; angles 90.00, 90.00, 90.00 degrees
Element x y z (fractional)
Si 0.8740 0.3740 0.5000
Si 0.6260 0.8740 0.5000
Si 0.1260 0.6260 0.5000
Si 0.3740 0.1260 0.5000
Au 0.3262 0.8262 0.0000
Au 0.8262 0.6738 0.0000
Au 0.6738 0.1738 0.0000
Au 0.1738 0.3262 0.0000
Ge 0.5000 0.5000 0.0000
Ge 0.0000 0.0000 0.0000

Properties
magnetization	0.00	μB/cell
uncorrected formation energy	0.291	eV/atom
calculated total energy	-4.113	eV per atom
E above lowest polymorph	38.8	meV/atom